LiPaAlRu (GGA-PBE, optimized geometry); total energy = -6.38 eV/atom; DFT formation energy = -1.10 eV per formula unit; space-group type = No. 216
1.0
4.6220 0.0000 0.0000
2.3110 4.0028 0.0000
2.3110 1.3343 3.7739
Li Pa Ru Al
1 1 1 1
Direct
0.0000 0.0000 0.0000
0.2500 0.2500 0.2500
0.5000 0.5000 0.5000
0.7500 0.7500 0.7500

PrSc4Tl5 (GGA-PBE, optimized geometry); total energy = -4.48 eV/atom; DFT formation energy = -2.86 eV per formula unit; space-group type = No. 123
1.0
-2.2449 -2.2238 1.8140
-0.2892 -2.1160 -2.9520
14.5909 -10.0307 5.7605
Tl Sc Pr
5 4 1
Direct
0.5000 0.5000 0.8818
0.5000 0.5000 0.5000
0.5000 0.5000 0.1182
0.5000 0.5000 0.6906
0.5000 0.5000 0.3094
0.0000 0.0000 0.4047
0.0000 0.0000 0.5953
0.0000 0.0000 0.2136
0.0000 0.0000 0.7864
0.0000 0.0000 0.0000

GaGe3Se4 (GGA-PBE, optimized geometry); total energy = -4.05 eV/atom; formation energy from raw total energies = -0.197 eV per atom; space-group type = No. 31
1.0
5.8600 0.0000 0.0000
0.0000 8.6828 0.0000
0.0000 0.0000 8.0223
Se Ge Ga
8 6 2
Direct
0.6132 0.0516 0.5000
0.5908 0.2396 0.0000
0.0940 0.3472 0.7266
0.1132 0.9484 0.0000
0.0940 0.3472 0.2734
0.5940 0.6528 0.7734
0.5940 0.6528 0.2266
0.0908 0.7604 0.5000
0.0401 0.0676 0.5000
0.0332 0.6456 0.1826
0.0332 0.6456 0.8174
0.5332 0.3544 0.3174
0.5332 0.3544 0.6826
0.5401 0.9324 0.0000
0.5168 0.7751 0.5000
0.0168 0.2249 0.0000

Nd3Cu4Ni2 (GGA-PBE, optimized geometry); total energy = -4.94 eV/atom; DFT formation energy = -2.23 eV per formula unit; space-group type = No. 12
1.0
-2.5161 0.5991 3.2674
5.1348 -1.8647 1.6387
0.7173 8.2047 -0.9520
Ni Nd Cu
2 3 4
Direct
0.6087 0.2174 0.2746
0.3913 0.7826 0.7254
0.6723 0.3446 0.6601
0.3277 0.6554 0.3399
0.0000 0.0000 0.0000
0.2790 0.5581 0.9416
0.0492 0.0983 0.3833
0.9508 0.9017 0.6167
0.7210 0.4419 0.0584

SrTc4Pb (GGA-PBE, optimized geometry); total energy = -7.28 eV/atom; DFT formation energy = 3.15 eV per formula unit; space-group type = No. 216
1.0
0.7626 -2.8206 4.5767
-4.2402 -2.2391 2.5476
-0.6276 -5.3935 0.0016
Tc Sr Pb
4 1 1
Direct
0.3766 0.3766 0.3766
0.8703 0.3766 0.3766
0.3766 0.8703 0.3766
0.3766 0.3766 0.8703
0.0000 0.0000 0.0000
0.7500 0.7500 0.7500

SrTi2Tl (GGA-PBE, optimized geometry); energy relative to the lowest polymorph listed for this composition = 12 meV per atom; total energy = -4.38 eV/atom; DFT formation energy = 2.34 eV per formula unit; space-group type = No. 225
1.0
0.6215 -2.2228 4.4882
2.1776 2.5268 3.7874
-2.7583 1.4874 3.9561
Tl Sr Ti
1 1 2
Direct
0.5000 0.5000 0.5000
0.0000 0.0000 0.0000
0.2500 0.2500 0.2500
0.7500 0.7500 0.7500

La2PrSnN4 (GGA-PBE, optimized geometry); total energy = -7.26 eV/atom; formation energy from raw total energies = -0.767 eV per atom; space-group type = No. 63
1.0
-3.2286 -1.2268 1.4345
4.3941 -4.4589 1.2013
2.7215 5.6294 10.9398
La N Sn Pr
4 8 2 2
Direct
0.6286 0.2572 0.0382
0.6286 0.2572 0.4618
0.3714 0.7428 0.9618
0.3714 0.7428 0.5382
0.5596 0.1193 0.2500
0.2746 0.5493 0.3707
0.2746 0.5493 0.1293
0.0000 0.0000 0.5000
0.7254 0.4507 0.6293
0.7254 0.4507 0.8707
0.0000 0.0000 0.0000
0.4404 0.8807 0.7500
0.1540 0.3081 0.2500
0.8460 0.6919 0.7500
0.1104 0.2209 0.7500
0.8896 0.7791 0.2500

Sm3AgSb2 (GGA-PBE, optimized geometry); total energy = -4.96 eV/atom; formation energy from raw total energies = -0.755 eV per atom; space-group type = No. 71
1.0
-1.9104 5.1287 3.0321
-8.4816 -2.6255 -0.9031
3.4709 -5.1768 4.4879
Sm Sb Ag
6 4 2
Direct
0.1739 0.5872 0.3484
0.8261 0.4128 0.6516
0.1746 0.0872 0.3484
0.8254 0.9128 0.6516
0.5003 0.2500 0.0000
0.4997 0.7500 0.0000
0.6655 0.0826 0.3302
0.6647 0.5826 0.3302
0.3353 0.4174 0.6698
0.3345 0.9174 0.6698
0.9997 0.7500 0.0000
0.0003 0.2500 0.0000